Computed, not measured: crystalline Ce3Be2Si4 at its relaxed geometry at the PBE level of DFT.

The structure belongs to space group C2/m (No. 12); the cell edges are 10.888, 3.980 and 8.211 Å and the angles 90.00°, 112.18° and 90.00°. Symmetry generates all atoms from Ce at (0.000, 0.000, 0.000), Ce at (0.105, 0.500, 0.671), Be at (0.181, 0.500, 0.314), Si at (0.129, 0.000, 0.404) and Si at (0.227, 0.500, 0.064).

The calculation puts the density at 5.6 g/cm³. The formation energy from raw total energies is -4.86 eV/f.u. The calculation puts the total magnetization at 1.73 μB per formula unit. The value obtained for the density of states at the Fermi level is 12.40 states/eV/f.u. The excess energy over the best structure of this formula in the dataset is 0.90 eV per formula unit. The calculation puts the total DFT energy (no corrections) at -5.756 eV/atom.